The following is a DFT calculation (SCAN) of a crystal of GaCuSnC2 relaxed with PBEsol.

a = 3.936 Å, b = 3.936 Å, c = 4.784 Å
α = 90.00°, β = 90.00°, γ = 90.00°
Atoms (fractional coordinates):
C (0.000, 0.500, 0.000)
C (0.500, 0.000, 0.000)
Cu (0.000, 0.000, 0.500)
Sn (0.500, 0.500, 0.500)
Ga (0.000, 0.000, 0.000)

ΔE_f   9.8 eV/f.u.
Theoretical density   6.184 g/cm3
Magnetic moment   0.0 μB/f.u.